Compound: K2RbPSe4
Source: Alexandria via LeMat-Bulk
Functional: GGA-PBE
Structure: optimized geometry

Its electronic total energy is -105.3 eV for the cell shown.

The space group is C2/c (No. 15) and the conventional cell measures 14.333, 10.937 and 9.263 Å, with angles of 90.00, 130.26 and 90.00 degrees. The asymmetric unit holds K at (0.000, 0.000, 0.000), K at (0.250, 0.250, 0.000), Rb at (0.250, 0.250, 0.500), P at (0.000, 0.500, 0.000), Se at (0.000, 0.287, 0.511) and Se at (0.213, 0.500, 0.214).

Compound: Dy2HoSc3P6
Source: Alexandria via LeMat-Bulk
Functional: GGA-PBE
Structure: optimized geometry

For the energy relative to the elements, the calculation gives -1538 meV/atom.

The space group is C2/m (No. 12) and the conventional cell measures 6.728, 11.653 and 6.706 Å, with angles of 90.00, 109.52 and 90.00 degrees. The asymmetric unit holds Dy at (0.000, 0.167, 0.000), Ho at (0.000, 0.500, 0.000), Sc at (0.000, 0.000, 0.500), Sc at (0.000, 0.333, 0.500), P at (0.244, 0.500, 0.735) and P at (0.245, 0.166, 0.735).

Compound: TcC2S
Source: Alexandria via LeMat-Bulk
Functional: GGA-PBE
Structure: optimized geometry

Its electronic total energy is -113.6 eV for the cell shown.

The space group is I-42d (No. 122) and the conventional cell measures 4.633, 4.633 and 8.110 Å, with angles of 90.00, 90.00 and 90.00 degrees. The asymmetric unit holds Tc at (0.000, 0.000, 0.000), C at (0.204, 0.250, 0.625) and S at (0.000, 0.000, 0.500).

For reference, volume by record: 34.6 20.6 10.9 A^3/atom.